1.
The following is a DFT calculation (PBE-GGA) of crystalline Rb2YCu2O4 at its relaxed geometry.

a = 6.998 Å, b = 6.998 Å, c = 6.653 Å
α = 106.59°, β = 106.59°, γ = 28.76°
Fractional positions:
Rb1 0.129 0.129 0.055
Rb2 0.871 0.871 0.945
Y1 0.000 0.000 0.500
Cu1 0.319 0.319 0.471
Cu2 0.681 0.681 0.529
O1 0.185 0.185 0.658
O2 0.468 0.468 0.700
O3 0.532 0.532 0.300
O4 0.815 0.815 0.342

Properties
E_form (uncorrected) in eV per atom: -1.494
E_tot in eV per formula unit: -49.87
N(E_F) in states/eV per cell: 4.3
Total magnetization in μB per cell: 0.87
ρ in g/cm3: 5.00



2.
The following is a DFT calculation (PBE-GGA) of crystalline RbYCuO3 at its relaxed geometry.

a = 7.600 Å, b = 3.626 Å, c = 9.151 Å
α = 90.00°, β = 111.22°, γ = 90.00°
Fractional positions:
Rb1 0.203 0.250 0.189
Rb2 0.797 0.750 0.811
Y1 0.329 0.750 0.862
Y2 0.671 0.250 0.138
Cu1 0.039 0.250 0.625
Cu2 0.961 0.750 0.375
O1 0.119 0.750 0.599
O2 0.127 0.250 0.852
O3 0.472 0.750 0.123
O4 0.528 0.250 0.877
O5 0.873 0.750 0.148
O6 0.881 0.250 0.401

Properties
E_form (uncorrected) in eV per atom: -1.934
E_tot in eV per formula unit: -38.01
N(E_F) in states/eV per cell: 0.4
Total magnetization in μB per cell: 2.00
ρ in g/cm3: 4.04